16
Lattice="-2.232 1.720 -3.410 5.648 -3.374 -5.399 -3.495 -5.264 -0.367" Properties=species:S:1:pos:R:3 comment="Al2TcW PBE relaxed" magmom_total_mub_per_atom=0.00 formation_energy_kj_per_mol_fu=-78 energy_ev_per_atom=-7.903 crystal_system=orthorhombic polymorph_energy_ev_per_atom=0.1094 pbc="T T T"
Tc 3.858 -3.222 -5.585
Tc -1.407 0.116 -3.325
Tc -0.713 -4.167 -3.069
Tc -0.330 -4.203 -6.207
W 1.631 -3.533 -4.284
W -0.740 -1.924 -4.790
W -2.940 -4.478 -1.768
W 0.336 -6.242 -7.672
Al -0.005 -6.231 -4.573
Al -2.598 -4.489 -4.867
Al -1.081 -1.912 -1.691
Al 1.973 -3.544 -7.383
Al 1.151 -1.353 -2.871
Al 1.539 -1.392 -6.014
Al 2.228 -5.672 -5.753
Al -3.032 -2.337 -3.498